(1)
Entry from OQMD via LeMat-Bulk: an optimized crystal structure of NbGaFeW (PBE).

Summary:
Polymorph energy (0 for the lowest one) (meV/atom): 0.0
Magnetization (μB/atom): 0.487
Crystal system: cubic

Lattice parameters (Å, degrees): 6.2329 6.2329 6.2329 90.00 90.00 90.00
Space group F-43m (No. 216)
Symmetry-distinct sites (fractional):
Nb (0.0000, 0.0000, 0.0000)
Ga (0.0000, 0.0000, 0.5000)
Fe (0.2500, 0.2500, 0.7500)
W (0.2500, 0.2500, 0.2500)


(2)
Entry from OQMD via LeMat-Bulk: an optimized crystal structure of YNbGaFe (PBE).

Summary:
Polymorph energy (0 for the lowest one) (meV/atom): 105.4
Magnetization (μB/atom): 0.325
Crystal system: cubic

Lattice parameters (Å, degrees): 6.5385 6.5385 6.5385 90.00 90.00 90.00
Space group F-43m (No. 216)
Symmetry-distinct sites (fractional):
Y (0.0000, 0.0000, 0.0000)
Nb (0.2500, 0.2500, 0.2500)
Ga (0.0000, 0.0000, 0.5000)
Fe (0.2500, 0.2500, 0.7500)


Which formula does entry 1 have? NbGaFeW